The following is a DFT calculation (GGA-PBE) of a relaxed TbCu3P2 crystal.

abc: 3.834 7.905 9.518
angles: 103.78 90.00 104.03
Atoms (fractional coordinates):
Cu 0.792 0.585 0.610
Cu 0.674 0.348 0.978
Cu 0.326 0.652 0.022
Cu 0.038 0.077 0.351
Cu 0.375 0.751 0.781
Cu 0.625 0.249 0.219
Cu 0.962 0.923 0.649
Cu 0.500 0.000 0.500
Cu 0.208 0.415 0.390
P 0.356 0.712 0.525
P 0.199 0.398 0.135
P 0.801 0.602 0.865
P 0.537 0.073 0.796
P 0.644 0.288 0.475
P 0.463 0.927 0.204
Tb 0.158 0.316 0.707
Tb 0.000 0.000 0.000
Tb 0.842 0.684 0.293

## Properties
Calculated formation energy in meV per atom: -583